i:
5
Lattice="6.056 0.000 0.000 0.000 6.056 0.000 0.000 0.000 6.056" Properties=species:S:1:pos:R:3 comment="SrTl3Tc | Alexandria | PBE-GGA | relaxed" crystal_system=cubic n_ef_per_ev_cell=6.6 pbc="T T T"
Sr 0.000 0.000 0.000
Tl 0.000 0.000 3.028
Tl 0.000 3.028 0.000
Tl 3.028 0.000 0.000
Tc 3.028 3.028 3.028

=====

ii:
5
Lattice="5.347 0.000 0.000 0.000 5.347 0.000 0.000 0.000 5.347" Properties=species:S:1:pos:R:3 comment="SrTl3Tc | Alexandria | PBE-GGA | relaxed" crystal_system=cubic n_ef_per_ev_cell=2.2 pbc="T T T"
Sr 0.000 0.000 0.000
Tl 0.000 2.673 2.673
Tl 2.673 0.000 2.673
Tl 2.673 2.673 0.000
Tc 2.673 2.673 2.673

=====

ii is preferred energetically. Next in line: 1361 meV per atom higher.